{"formula": "CsKBrCl", "functional": "GGA-PBE", "state": "relaxed", "lattice": [[-1.040, -1.724, 4.380], [3.529, -0.735, 3.201], [-0.095, 6.744, 5.284]], "species": ["Cs", "Br", "K", "Cl"], "frac_coords": [[0.448, 0.448, 0.654], [0.686, 0.686, 0.943], [0.940, 0.940, 0.180], [0.202, 0.202, 0.394]], "final_energy_ev_per_atom": -3.2179, "e_form_raw_ev_per_atom": -1.850, "crystal_system": "trigonal"}